Here is crystalline Ho4ErTl at its relaxed geometry from the Alexandria database. Energies are from PBE.

abc: 3.5609 3.5609 14.1468
angles: 90.00 90.00 90.00
Fractional positions:
Ho: 0.5000 0.5000 0.1746
Ho: 0.5000 0.5000 0.8254
Ho: 0.0000 0.0000 0.3492
Ho: 0.0000 0.0000 0.6508
Tl: 0.5000 0.5000 0.5000
Er: 0.0000 0.0000 0.0000

Computed properties:
Fermi-level density of states: 6.5 states/eV/f.u.
Magnetization: 0.000 μB per formula unit
Symmetry: P4/mmm
Calculated total energy: -4.311 eV per atom
Excess energy over the best structure of this formula in the dataset: 0.0 meV/atom
Volume: 29.90 A^3/atom